The following is a GGA-PBE calculation of an optimized crystal structure of Zn, from the Open Quantum Materials Database.

a b c (Å): 6.707 6.707 6.707
angles (deg): 90.00 90.00 90.00
Fractional coordinates of all 20 atoms:
1 Zn 0.032 0.032 0.032
2 Zn 0.075 0.875 0.675
3 Zn 0.125 0.175 0.425
4 Zn 0.175 0.425 0.125
5 Zn 0.218 0.782 0.282
6 Zn 0.282 0.218 0.782
7 Zn 0.325 0.575 0.625
8 Zn 0.375 0.825 0.925
9 Zn 0.425 0.125 0.175
10 Zn 0.468 0.968 0.532
11 Zn 0.532 0.468 0.968
12 Zn 0.575 0.625 0.325
13 Zn 0.625 0.325 0.575
14 Zn 0.675 0.075 0.875
15 Zn 0.718 0.718 0.718
16 Zn 0.782 0.282 0.218
17 Zn 0.825 0.925 0.375
18 Zn 0.875 0.675 0.075
19 Zn 0.925 0.375 0.825
20 Zn 0.968 0.532 0.468

E_form ... 29 meV/atom
ΔE to the lowest computed polymorph ... 29 meV per atom